# 1
A crystal of Li2Cr2O7 relaxed with PBEsol, computed with SCAN.

Cell lengths 6.3519, 6.3519, 13.6783 Å; angles 90.00, 90.00, 117.89 degrees
Closest atoms and distances in Å follow each position.
Atoms (fractional coordinates):
Li: 0.2395 0.2395 0.0000  6 O 2.15-2.21
Li: 0.2605 0.2605 0.5000  6 O 2.15-2.21
Li: 0.6956 0.3044 0.3604  4 O 2.00-2.16
Li: 0.8044 0.1956 0.8604  4 O 2.00-2.16
Li: 0.1956 0.8044 0.1396  4 O 2.00-2.16
Li: 0.3044 0.6956 0.6396  4 O 2.00-2.16
Li: 0.7395 0.7395 0.5000  6 O 2.15-2.21
Li: 0.7605 0.7605 0.0000  6 O 2.15-2.21
Cr: 0.1692 0.3308 0.2500  4 O 1.60-1.78
Cr: 0.3308 0.1692 0.7500  4 O 1.60-1.78
Cr: 0.2519 0.7481 0.9235  4 O 1.63-1.66
Cr: 0.7481 0.2519 0.0765  4 O 1.63-1.66
Cr: 0.7519 0.2481 0.5765  4 O 1.63-1.66
Cr: 0.2481 0.7519 0.4235  4 O 1.63-1.66
Cr: 0.8308 0.6692 0.7500  4 O 1.60-1.78
Cr: 0.6692 0.8308 0.2500  4 O 1.60-1.78
O: 0.2071 0.1898 0.1602  1 Cr 1.60
O: 0.1898 0.2071 0.8398  1 Cr 1.60
O: 0.5543 0.0375 0.1468  1 Cr 1.65
O: 0.5375 0.0543 0.6468  1 Cr 1.65
O: 0.0375 0.5543 0.8532  1 Cr 1.65
O: 0.0543 0.5375 0.3532  1 Cr 1.65
O: 0.3102 0.2929 0.3398  1 Cr 1.60
O: 0.2929 0.3102 0.6602  1 Cr 1.60
O: 0.6347 0.3653 0.4985  1 Cr 1.66
O: 0.6320 0.3680 0.7817  2 Cr 1.78
O: 0.8811 0.1189 0.5168  1 Cr 1.63
O: 0.1320 0.8680 0.7183  2 Cr 1.78
O: 0.8653 0.1347 0.9985  1 Cr 1.66
O: 0.8680 0.1320 0.2817  2 Cr 1.78
O: 0.3653 0.6347 0.5015  1 Cr 1.66
O: 0.6189 0.3811 0.0168  1 Cr 1.63
O: 0.3680 0.6320 0.2183  2 Cr 1.78
O: 0.1189 0.8811 0.4832  1 Cr 1.63
O: 0.1347 0.8653 0.0015  1 Cr 1.66
O: 0.3811 0.6189 0.9832  1 Cr 1.63
O: 0.7071 0.6898 0.3398  1 Cr 1.60
O: 0.6898 0.7071 0.6602  1 Cr 1.60
O: 0.4625 0.9457 0.3532  1 Cr 1.65
O: 0.4457 0.9625 0.8532  1 Cr 1.65
O: 0.9625 0.4457 0.1468  1 Cr 1.65
O: 0.9457 0.4625 0.6468  1 Cr 1.65
O: 0.8102 0.7929 0.1602  1 Cr 1.60
O: 0.7929 0.8102 0.8398  1 Cr 1.60

Summary:
- raw formation energy (eV per atom) = -1.968
- E_tot (eV per cell) = -427.25
- E above lowest polymorph (meV per atom) = 36
- theoretical density (g cm⁻³) = 3.130
- total magnetic moment (μB per formula unit) = 0.000



# 2
A crystal of Al2CdW relaxed with PBEsol, computed with SCAN.

Cell lengths 4.5306, 4.5306, 4.5306 Å; angles 60.00, 60.00, 60.00 degrees
Closest atoms and distances in Å follow each position.
Atoms (fractional coordinates):
Al: 0.0000 0.0000 0.0000  4 W 2.77, 4 Al 2.77
Al: 0.2500 0.2500 0.2500  4 Cd 2.77, 4 Al 2.77
W: 0.7500 0.7500 0.7500  4 Al 2.77, 4 Cd 2.77
Cd: 0.5000 0.5000 0.5000  4 W 2.77, 4 Al 2.77

Summary:
- E_tot (eV per cell) = -113.17
- E_form (eV/atom) = 0.61
- theoretical density (g cm⁻³) = 8.844
- total magnetic moment (μB per formula unit) = 0.000



# 3
A crystal of CdSbAs2Se relaxed with PBEsol, computed with SCAN.

Cell lengths 5.2003, 5.2416, 5.2416 Å; angles 90.00, 90.00, 90.00 degrees
Closest atoms and distances in Å follow each position.
Atoms (fractional coordinates):
Sb: 0.0000 0.0000 0.0000  2 Se 2.60, 4 As 2.62
As: 0.0000 0.0000 0.5000  2 Sb 2.62
As: 0.0000 0.5000 0.0000  2 Sb 2.62
Se: 0.5000 0.0000 0.0000  2 Sb 2.60
Cd: 0.5000 0.5000 0.5000  8 As 3.69, 4 Se 3.71

Summary:
- raw formation energy (eV per atom) = 0.786
- E_tot (eV per cell) = -124.20
- theoretical density (g cm⁻³) = 5.381
- total magnetic moment (μB per formula unit) = 0.744